[1]
Computed, not measured: MgCrAu14 after structural relaxation at the PBE level of DFT.

Output
Density of states at the Fermi level, states/eV/atom: 0.35
Formation energy from the elements, kJ/mol of formula units: -129.1
Total magnetic moment, μB per formula unit: 4.31

Cell and atoms, written as CIF:
```
data_MgCrAu14
_chemical_formula_sum 'Mg1 Cr1 Au14'
_cell_length_a 5.938
_cell_length_b 5.938
_cell_length_c 8.107
_cell_angle_alpha 90.00
_cell_angle_beta 90.00
_cell_angle_gamma 90.00
_symmetry_space_group_name_H-M 'P 4/m m m'
_symmetry_Int_Tables_number 123
_symmetry_space_group_name_Hall '-P 4 2'
loop_
_atom_site_label
_atom_site_type_symbol
_atom_site_fract_x
_atom_site_fract_y
_atom_site_fract_z
Mg1 Mg 0.000 0.000 0.000
Cr1 Cr 0.500 0.500 0.000
Au1 Au 0.000 0.000 0.500
Au2 Au 0.000 0.500 0.000
Au3 Au 0.000 0.500 0.500
Au4 Au 0.250 0.250 0.245
Au5 Au 0.500 0.500 0.500
```

---

[2]
Computed, not measured: MgCrAu2 after structural relaxation at the PBE level of DFT.

Output
Density of states at the Fermi level, states/eV/atom: 0.46
Formation energy from the elements, kJ/mol of formula units: -72.4
Total magnetic moment, μB per formula unit: 3.94

Cell and atoms, written as CIF:
```
data_MgCrAu2
_chemical_formula_sum 'Mg1 Cr1 Au2'
_cell_length_a 3.195
_cell_length_b 3.301
_cell_length_c 6.610
_cell_angle_alpha 90.00
_cell_angle_beta 90.10
_cell_angle_gamma 90.00
_symmetry_space_group_name_H-M 'P 1 2/m 1'
_symmetry_Int_Tables_number 10
_symmetry_space_group_name_Hall '-P 2y'
loop_
_atom_site_label
_atom_site_type_symbol
_atom_site_fract_x
_atom_site_fract_y
_atom_site_fract_z
Mg1 Mg 0.000 0.000 0.000
Cr1 Cr 0.000 0.000 0.500
Au1 Au 0.499 0.500 0.254
```

---

[3]
Computed, not measured: MgCr2Au after structural relaxation at the PBE level of DFT.

Output
Density of states at the Fermi level, states/eV/atom: 1.35
Formation energy from the elements, kJ/mol of formula units: 171.7
Total magnetic moment, μB per formula unit: 0.00

Cell and atoms, written as CIF:
```
data_MgCr2Au
_chemical_formula_sum 'Mg2 Cr4 Au2'
_cell_length_a 5.064
_cell_length_b 9.055
_cell_length_c 2.629
_cell_angle_alpha 90.00
_cell_angle_beta 103.07
_cell_angle_gamma 90.00
_symmetry_space_group_name_H-M 'C 1 2/m 1'
_symmetry_Int_Tables_number 12
_symmetry_space_group_name_Hall '-C 2y'
loop_
_atom_site_label
_atom_site_type_symbol
_atom_site_fract_x
_atom_site_fract_y
_atom_site_fract_z
Mg1 Mg 0.000 0.000 0.000
Cr1 Cr 0.250 0.250 0.500
Au1 Au 0.000 0.500 0.000
```

---

[4]
Computed, not measured: MgCr2Au after structural relaxation at the PBE level of DFT.

Output
Density of states at the Fermi level, states/eV/atom: 0.57
Formation energy from the elements, kJ/mol of formula units: 162.2
Total magnetic moment, μB per formula unit: 0.00

Cell and atoms, written as CIF:
```
data_MgCr2Au
_chemical_formula_sum 'Mg1 Cr2 Au1'
_cell_length_a 2.766
_cell_length_b 4.371
_cell_length_c 5.035
_cell_angle_alpha 90.00
_cell_angle_beta 90.00
_cell_angle_gamma 90.00
_symmetry_space_group_name_H-M 'P m m m'
_symmetry_Int_Tables_number 47
_symmetry_space_group_name_Hall '-P 2 2'
loop_
_atom_site_label
_atom_site_type_symbol
_atom_site_fract_x
_atom_site_fract_y
_atom_site_fract_z
Mg1 Mg 0.000 0.000 0.000
Cr1 Cr 0.500 0.500 0.200
Au1 Au 0.000 0.000 0.500
```

---

[5]
Computed, not measured: MgCrAu2 after structural relaxation at the PBE level of DFT.

Output
Density of states at the Fermi level, states/eV/atom: 0.34
Formation energy from the elements, kJ/mol of formula units: -68.0
Total magnetic moment, μB per formula unit: 4.12

Cell and atoms, written as CIF:
```
data_MgCrAu2
_chemical_formula_sum 'Mg2 Cr2 Au4'
_cell_length_a 4.024
_cell_length_b 4.024
_cell_length_c 8.570
_cell_angle_alpha 90.00
_cell_angle_beta 90.00
_cell_angle_gamma 90.00
_symmetry_space_group_name_H-M 'I -4 m 2'
_symmetry_Int_Tables_number 119
_symmetry_space_group_name_Hall 'I -4 -2'
loop_
_atom_site_label
_atom_site_type_symbol
_atom_site_fract_x
_atom_site_fract_y
_atom_site_fract_z
Mg1 Mg 0.000 0.000 0.000
Cr1 Cr 0.000 0.500 0.750
Au1 Au 0.000 0.000 0.500
Au2 Au 0.000 0.500 0.250
```

---

[6]
Computed, not measured: NaMgCr2Au after structural relaxation at the PBE level of DFT.

Output
Density of states at the Fermi level, states/eV/atom: 0.60
Formation energy from the elements, kJ/mol of formula units: 392.2
Total magnetic moment, μB per formula unit: 8.90

Cell and atoms, written as CIF:
```
data_NaMgCr2Au
_chemical_formula_sum 'Na1 Mg1 Cr2 Au1'
_cell_length_a 5.124
_cell_length_b 5.124
_cell_length_c 5.223
_cell_angle_alpha 90.00
_cell_angle_beta 90.00
_cell_angle_gamma 90.00
_symmetry_space_group_name_H-M 'P 4/m m m'
_symmetry_Int_Tables_number 123
_symmetry_space_group_name_Hall '-P 4 2'
loop_
_atom_site_label
_atom_site_type_symbol
_atom_site_fract_x
_atom_site_fract_y
_atom_site_fract_z
Na1 Na 0.000 0.000 0.000
Mg1 Mg 0.500 0.500 0.000
Cr1 Cr 0.000 0.500 0.500
Au1 Au 0.000 0.000 0.500
```

---

[7]
Computed, not measured: MgCrPdAu after structural relaxation at the PBE level of DFT.

Output
Density of states at the Fermi level, states/eV/atom: 0.58
Formation energy from the elements, kJ/mol of formula units: -98.8
Total magnetic moment, μB per formula unit: 4.09

Cell and atoms, written as CIF:
```
data_MgCrPdAu
_chemical_formula_sum 'Mg4 Cr4 Pd4 Au4'
_cell_length_a 6.424
_cell_length_b 6.424
_cell_length_c 6.424
_cell_angle_alpha 90.00
_cell_angle_beta 90.00
_cell_angle_gamma 90.00
_symmetry_space_group_name_H-M 'F -4 3 m'
_symmetry_Int_Tables_number 216
_symmetry_space_group_name_Hall 'F -4 2 3'
loop_
_atom_site_label
_atom_site_type_symbol
_atom_site_fract_x
_atom_site_fract_y
_atom_site_fract_z
Mg1 Mg 0.000 0.000 0.000
Cr1 Cr 0.000 0.000 0.500
Pd1 Pd 0.250 0.250 0.750
Au1 Au 0.250 0.250 0.250
```

---

[8]
Computed, not measured: MgCrPtAu after structural relaxation at the PBE level of DFT.

Output
Density of states at the Fermi level, states/eV/atom: 0.71
Formation energy from the elements, kJ/mol of formula units: -121.1
Total magnetic moment, μB per formula unit: 3.90

Cell and atoms, written as CIF:
```
data_MgCrPtAu
_chemical_formula_sum 'Mg4 Cr4 Pt4 Au4'
_cell_length_a 6.406
_cell_length_b 6.406
_cell_length_c 6.406
_cell_angle_alpha 90.00
_cell_angle_beta 90.00
_cell_angle_gamma 90.00
_symmetry_space_group_name_H-M 'F -4 3 m'
_symmetry_Int_Tables_number 216
_symmetry_space_group_name_Hall 'F -4 2 3'
loop_
_atom_site_label
_atom_site_type_symbol
_atom_site_fract_x
_atom_site_fract_y
_atom_site_fract_z
Mg1 Mg 0.000 0.000 0.000
Cr1 Cr 0.000 0.000 0.500
Pt1 Pt 0.250 0.250 0.750
Au1 Au 0.250 0.250 0.250
```